# Pa2MnSi4Pt3 PBE-GGA relaxed
data_Pa2MnSi4Pt3
_cell_length_a 4.1419
_cell_length_b 4.1419
_cell_length_c 9.8227
_cell_angle_alpha 90.00
_cell_angle_beta 90.00
_cell_angle_gamma 90.00
_space_group_name_H-M_alt 'P 1'
_space_group_IT_number 1
loop_
_space_group_symop_operation_xyz
'x,y,z'
loop_
_atom_site_label
_atom_site_type_symbol
_atom_site_fract_x
_atom_site_fract_y
_atom_site_fract_z
Pt1 Pt 0.0000 0.5000 0.1266
Pt2 Pt 0.0000 0.0000 0.5000
Pt3 Pt 0.5000 0.0000 0.8734
Si1 Si 0.5000 0.0000 0.6287
Si2 Si 0.5000 0.5000 0.0000
Si3 Si 0.0000 0.0000 0.0000
Si4 Si 0.0000 0.5000 0.3713
Pa1 Pa 0.5000 0.0000 0.2610
Pa2 Pa 0.0000 0.5000 0.7390
Mn1 Mn 0.5000 0.5000 0.5000
# - E_form (uncorrected): -0.89 eV/atom
# - Space-group type: P-4m2 (115)
# - Magnetic moment: 0.00 Bohr magnetons per cell